The following is a PBE calculation of a relaxed structure of K2AcZn3F12, from the Alexandria database.

Geometry as CIF:
```
data_K2AcZn3F12
_symmetry_space_group_name_H-M 'R -3 m'
_symmetry_Int_Tables_number 166
_symmetry_space_group_name_Hall '-R 3 2"'
_cell_length_a 7.6716
_cell_length_b 7.6716
_cell_length_c 16.6817
_cell_angle_alpha 90.00
_cell_angle_beta 90.00
_cell_angle_gamma 120.00
loop_
_atom_site_label
_atom_site_fract_x
_atom_site_fract_y
_atom_site_fract_z
K1 0.0000 0.0000 0.1146
Ac1 0.0000 0.0000 0.5000
Zn1 0.0000 0.5000 0.0000
F1 0.0346 0.5173 0.8824
F2 0.0851 0.5426 0.3062
```

Properties
Total moment (Bohr magnetons per cell): 3.2
E_tot (eV per atom): -4.540
Raw formation energy (kJ/mol of formula units): -4742